# PBE LiIn2W, optimized geometry
data_LiIn2W
_chemical_formula_sum 'Li2 In4 W2'
_space_group_name_H-M_alt 'I -4 m 2'
_space_group_IT_number 119
_space_group_name_Hall 'I -4 -2'
_cell_length_a 3.9621
_cell_length_b 3.9621
_cell_length_c 9.4854
_cell_angle_alpha 90.00
_cell_angle_beta 90.00
_cell_angle_gamma 90.00
loop_
_atom_site_label
_atom_site_fract_x
_atom_site_fract_y
_atom_site_fract_z
Li1 0.0000 0.0000 0.0000
In1 0.0000 0.0000 0.5000
In2 0.0000 0.5000 0.2500
W1 0.0000 0.5000 0.7500
# Calculated total energy, eV per atom: -4.657
# Energy relative to the lowest polymorph listed for this composition, eV/f.u.: 0.77
# N(E_F), states/eV per atom: 0.697
# Energy of formation from the pure elements, kJ per mole of atoms: 41.4
# Size of the total moment, μB/f.u.: 0.7



# PBE LiIn4W2, optimized geometry
data_LiIn4W2
_chemical_formula_sum 'Li2 In8 W4'
_space_group_name_H-M_alt 'I 4/m m m'
_space_group_IT_number 139
_space_group_name_Hall '-I 4 2'
_cell_length_a 5.0306
_cell_length_b 5.0306
_cell_length_c 13.6187
_cell_angle_alpha 90.00
_cell_angle_beta 90.00
_cell_angle_gamma 90.00
loop_
_atom_site_label
_atom_site_fract_x
_atom_site_fract_y
_atom_site_fract_z
Li1 0.0000 0.0000 0.0000
In1 0.0000 0.0000 0.1972
In2 0.0000 0.5000 0.0000
W1 0.0000 0.0000 0.4113
# Calculated total energy, eV per atom: -4.644
# N(E_F), states/eV per atom: 0.468
# Energy of formation from the pure elements, kJ per mole of atoms: 86.3
# Size of the total moment, μB/f.u.: 0.0



# PBE LiInW2, optimized geometry
data_LiInW2
_chemical_formula_sum 'Li4 In4 W8'
_space_group_name_H-M_alt 'F -4 3 m'
_space_group_IT_number 216
_space_group_name_Hall 'F -4 2 3'
_cell_length_a 6.4186
_cell_length_b 6.4186
_cell_length_c 6.4186
_cell_angle_alpha 90.00
_cell_angle_beta 90.00
_cell_angle_gamma 90.00
loop_
_atom_site_label
_atom_site_fract_x
_atom_site_fract_y
_atom_site_fract_z
Li1 0.0000 0.0000 0.0000
In1 0.2500 0.2500 0.2500
W1 0.0000 0.0000 0.5000
W2 0.2500 0.2500 0.7500
# Calculated total energy, eV per atom: -7.216
# N(E_F), states/eV per atom: 0.215
# Energy of formation from the pure elements, kJ per mole of atoms: 40.9
# Size of the total moment, μB/f.u.: 0.0



# PBE LiInW2, optimized geometry
data_LiInW2
_chemical_formula_sum 'Li2 In2 W4'
_space_group_name_H-M_alt 'I m m 2'
_space_group_IT_number 44
_space_group_name_Hall 'I 2 -2'
_cell_length_a 3.6374
_cell_length_b 4.5987
_cell_length_c 7.8961
_cell_angle_alpha 90.00
_cell_angle_beta 90.00
_cell_angle_gamma 90.00
loop_
_atom_site_label
_atom_site_fract_x
_atom_site_fract_y
_atom_site_fract_z
Li1 0.0000 0.0000 0.0000
In1 0.0000 0.5000 0.2689
W1 0.0000 0.0000 0.4880
W2 0.0000 0.5000 0.7495
# Calculated total energy, eV per atom: -7.155
# N(E_F), states/eV per atom: 0.440
# Energy of formation from the pure elements, kJ per mole of atoms: 46.8
# Size of the total moment, μB/f.u.: 0.0



# PBE LiIn3W, optimized geometry
data_LiIn3W
_chemical_formula_sum 'Li1 In3 W1'
_space_group_name_H-M_alt 'P m -3 m'
_space_group_IT_number 221
_space_group_name_Hall '-P 4 2 3'
_cell_length_a 4.7811
_cell_length_b 4.7811
_cell_length_c 4.7811
_cell_angle_alpha 90.00
_cell_angle_beta 90.00
_cell_angle_gamma 90.00
loop_
_atom_site_label
_atom_site_fract_x
_atom_site_fract_y
_atom_site_fract_z
Li1 0.0000 0.0000 0.0000
In1 0.0000 0.0000 0.5000
W1 0.5000 0.5000 0.5000
# Calculated total energy, eV per atom: -3.503
# Energy relative to the lowest polymorph listed for this composition, eV/f.u.: 2.94
# N(E_F), states/eV per atom: 1.135
# Energy of formation from the pure elements, kJ per mole of atoms: 107.5
# Size of the total moment, μB/f.u.: 3.0



# PBE LiInW2, optimized geometry
data_LiInW2
_chemical_formula_sum 'Li1 In1 W2'
_space_group_name_H-M_alt 'P 4/m m m'
_space_group_IT_number 123
_space_group_name_Hall '-P 4 2'
_cell_length_a 3.7775
_cell_length_b 3.7775
_cell_length_c 4.6301
_cell_angle_alpha 90.00
_cell_angle_beta 90.00
_cell_angle_gamma 90.00
loop_
_atom_site_label
_atom_site_fract_x
_atom_site_fract_y
_atom_site_fract_z
Li1 0.0000 0.0000 0.0000
In1 0.5000 0.5000 0.0000
W1 0.0000 0.5000 0.5000
# Calculated total energy, eV per atom: -7.222
# N(E_F), states/eV per atom: 0.438
# Energy of formation from the pure elements, kJ per mole of atoms: 40.3
# Size of the total moment, μB/f.u.: 0.0



# PBE LiIn2W, optimized geometry
data_LiIn2W
_chemical_formula_sum 'Li1 In2 W1'
_space_group_name_H-M_alt 'P m m 2'
_space_group_IT_number 25
_space_group_name_Hall 'P 2 -2'
_cell_length_a 2.9443
_cell_length_b 4.7092
_cell_length_c 5.6831
_cell_angle_alpha 90.00
_cell_angle_beta 90.00
_cell_angle_gamma 90.00
loop_
_atom_site_label
_atom_site_fract_x
_atom_site_fract_y
_atom_site_fract_z
Li1 0.0000 0.0000 0.0000
In1 0.0000 0.0000 0.4461
In2 0.5000 0.5000 0.8218
W1 0.5000 0.5000 0.3097
# Calculated total energy, eV per atom: -4.661
# Energy relative to the lowest polymorph listed for this composition, eV/f.u.: 0.75
# N(E_F), states/eV per atom: 0.434
# Energy of formation from the pure elements, kJ per mole of atoms: 41.0
# Size of the total moment, μB/f.u.: 0.0



# PBE LiInW2, optimized geometry
data_LiInW2
_chemical_formula_sum 'Li1 In1 W2'
_space_group_name_H-M_alt 'P m m m'
_space_group_IT_number 47
_space_group_name_Hall '-P 2 2'
_cell_length_a 2.7319
_cell_length_b 4.5859
_cell_length_c 5.3647
_cell_angle_alpha 90.00
_cell_angle_beta 90.00
_cell_angle_gamma 90.00
loop_
_atom_site_label
_atom_site_fract_x
_atom_site_fract_y
_atom_site_fract_z
Li1 0.0000 0.0000 0.0000
In1 0.0000 0.0000 0.5000
W1 0.5000 0.5000 0.2371
# Calculated total energy, eV per atom: -7.107
# N(E_F), states/eV per atom: 0.420
# Energy of formation from the pure elements, kJ per mole of atoms: 51.4
# Size of the total moment, μB/f.u.: 0.0



# PBE LiIn2W, optimized geometry
data_LiIn2W
_chemical_formula_sum 'Li2 In4 W2'
_space_group_name_H-M_alt 'C 1 2/m 1'
_space_group_IT_number 12
_space_group_name_Hall '-C 2y'
_cell_length_a 9.4020
_cell_length_b 2.8906
_cell_length_c 5.7415
_cell_angle_alpha 90.00
_cell_angle_beta 97.51
_cell_angle_gamma 90.00
loop_
_atom_site_label
_atom_site_fract_x
_atom_site_fract_y
_atom_site_fract_z
Li1 0.0000 0.0000 0.0000
In1 0.2478 0.0000 0.7446
W1 0.0000 0.5000 0.5000
# Calculated total energy, eV per atom: -4.668
# Energy relative to the lowest polymorph listed for this composition, eV/f.u.: 0.72
# N(E_F), states/eV per atom: 0.763
# Energy of formation from the pure elements, kJ per mole of atoms: 40.3
# Size of the total moment, μB/f.u.: 0.0



# PBE LiIn2W, optimized geometry
data_LiIn2W
_chemical_formula_sum 'Li4 In8 W4'
_space_group_name_H-M_alt 'F -4 3 m'
_space_group_IT_number 216
_space_group_name_Hall 'F -4 2 3'
_cell_length_a 6.7378
_cell_length_b 6.7378
_cell_length_c 6.7378
_cell_angle_alpha 90.00
_cell_angle_beta 90.00
_cell_angle_gamma 90.00
loop_
_atom_site_label
_atom_site_fract_x
_atom_site_fract_y
_atom_site_fract_z
Li1 0.0000 0.0000 0.0000
In1 0.0000 0.0000 0.5000
In2 0.2500 0.2500 0.7500
W1 0.2500 0.2500 0.2500
# Calculated total energy, eV per atom: -4.336
# Energy relative to the lowest polymorph listed for this composition, eV/f.u.: 2.05
# N(E_F), states/eV per atom: 0.848
# Energy of formation from the pure elements, kJ per mole of atoms: 72.4
# Size of the total moment, μB/f.u.: 1.3



# PBE LiIn2W, optimized geometry
data_LiIn2W
_chemical_formula_sum 'Li3 In6 W3'
_space_group_name_H-M_alt 'R 3 m'
_space_group_IT_number 160
_space_group_name_Hall 'R 3 -2"'
_cell_length_a 3.0463
_cell_length_b 3.0463
_cell_length_c 29.2564
_cell_angle_alpha 90.00
_cell_angle_beta 90.00
_cell_angle_gamma 120.00
loop_
_atom_site_label
_atom_site_fract_x
_atom_site_fract_y
_atom_site_fract_z
Li1 0.0000 0.0000 0.0000
In1 0.0000 0.0000 0.5079
In2 0.0000 0.0000 0.7488
W1 0.0000 0.0000 0.2553
# Calculated total energy, eV per atom: -4.641
# Energy relative to the lowest polymorph listed for this composition, eV/f.u.: 0.83
# N(E_F), states/eV per atom: 0.354
# Energy of formation from the pure elements, kJ per mole of atoms: 43.0
# Size of the total moment, μB/f.u.: 0.0



# PBE Li3InW, optimized geometry
data_Li3InW
_chemical_formula_sum 'Li3 In1 W1'
_space_group_name_H-M_alt 'P m -3 m'
_space_group_IT_number 221
_space_group_name_Hall '-P 4 2 3'
_cell_length_a 4.8138
_cell_length_b 4.8138
_cell_length_c 4.8138
_cell_angle_alpha 90.00
_cell_angle_beta 90.00
_cell_angle_gamma 90.00
loop_
_atom_site_label
_atom_site_fract_x
_atom_site_fract_y
_atom_site_fract_z
Li1 0.0000 0.0000 0.5000
In1 0.0000 0.0000 0.0000
W1 0.5000 0.5000 0.5000
# Calculated total energy, eV per atom: -3.012
# Energy relative to the lowest polymorph listed for this composition, eV/f.u.: 0.00
# N(E_F), states/eV per atom: 0.550
# Energy of formation from the pure elements, kJ per mole of atoms: 123.0
# Size of the total moment, μB/f.u.: 3.7



# PBE LiInW2, optimized geometry
data_LiInW2
_chemical_formula_sum 'Li1 In1 W2'
_space_group_name_H-M_alt 'P m m 2'
_space_group_IT_number 25
_space_group_name_Hall 'P 2 -2'
_cell_length_a 2.7226
_cell_length_b 4.2442
_cell_length_c 5.9418
_cell_angle_alpha 90.00
_cell_angle_beta 90.00
_cell_angle_gamma 90.00
loop_
_atom_site_label
_atom_site_fract_x
_atom_site_fract_y
_atom_site_fract_z
Li1 0.0000 0.0000 0.0000
In1 0.5000 0.5000 0.7728
W1 0.0000 0.0000 0.4785
W2 0.5000 0.5000 0.2708
# Calculated total energy, eV per atom: -7.205
# N(E_F), states/eV per atom: 0.567
# Energy of formation from the pure elements, kJ per mole of atoms: 41.9
# Size of the total moment, μB/f.u.: 0.0



# PBE LiInW2, optimized geometry
data_LiInW2
_chemical_formula_sum 'Li2 In2 W4'
_space_group_name_H-M_alt 'C 1 m 1'
_space_group_IT_number 8
_space_group_name_Hall 'C -2y'
_cell_length_a 9.2596
_cell_length_b 2.7391
_cell_length_c 5.3761
_cell_angle_alpha 90.00
_cell_angle_beta 94.03
_cell_angle_gamma 90.00
loop_
_atom_site_label
_atom_site_fract_x
_atom_site_fract_y
_atom_site_fract_z
Li1 0.0000 0.0000 0.0000
In1 0.2475 0.0000 0.7811
W1 0.0070 0.5000 0.4786
W2 0.2547 0.5000 0.2741
# Calculated total energy, eV per atom: -7.193
# N(E_F), states/eV per atom: 0.348
# Energy of formation from the pure elements, kJ per mole of atoms: 43.1
# Size of the total moment, μB/f.u.: 0.0



# PBE LiIn2W, optimized geometry
data_LiIn2W
_chemical_formula_sum 'Li1 In2 W1'
_space_group_name_H-M_alt 'P 4 m m'
_space_group_IT_number 99
_space_group_name_Hall 'P 4 -2'
_cell_length_a 2.8935
_cell_length_b 2.8935
_cell_length_c 9.3925
_cell_angle_alpha 90.00
_cell_angle_beta 90.00
_cell_angle_gamma 90.00
loop_
_atom_site_label
_atom_site_fract_x
_atom_site_fract_y
_atom_site_fract_z
Li1 0.0000 0.0000 0.0000
In1 0.0000 0.0000 0.4572
In2 0.5000 0.5000 0.7534
W1 0.5000 0.5000 0.2226
# Calculated total energy, eV per atom: -4.641
# Energy relative to the lowest polymorph listed for this composition, eV/f.u.: 0.83
# N(E_F), states/eV per atom: 0.832
# Energy of formation from the pure elements, kJ per mole of atoms: 42.9
# Size of the total moment, μB/f.u.: 0.0



# PBE LiInW4, optimized geometry
data_LiInW4
_chemical_formula_sum 'Li4 In4 W16'
_space_group_name_H-M_alt 'F -4 3 m'
_space_group_IT_number 216
_space_group_name_Hall 'F -4 2 3'
_cell_length_a 7.5822
_cell_length_b 7.5822
_cell_length_c 7.5822
_cell_angle_alpha 90.00
_cell_angle_beta 90.00
_cell_angle_gamma 90.00
loop_
_atom_site_label
_atom_site_fract_x
_atom_site_fract_y
_atom_site_fract_z
Li1 0.0000 0.0000 0.0000
In1 0.2500 0.2500 0.2500
W1 0.1261 0.1261 0.6261
# Calculated total energy, eV per atom: -8.753
# N(E_F), states/eV per atom: 1.280
# Energy of formation from the pure elements, kJ per mole of atoms: 63.5
# Size of the total moment, μB/f.u.: 0.0



# PBE LiInW2, optimized geometry
data_LiInW2
_chemical_formula_sum 'Li1 In1 W2'
_space_group_name_H-M_alt 'P 1 2/m 1'
_space_group_IT_number 10
_space_group_name_Hall '-P 2y'
_cell_length_a 2.7718
_cell_length_b 4.8140
_cell_length_c 5.1140
_cell_angle_alpha 90.00
_cell_angle_beta 99.42
_cell_angle_gamma 90.00
loop_
_atom_site_label
_atom_site_fract_x
_atom_site_fract_y
_atom_site_fract_z
Li1 0.0000 0.0000 0.0000
In1 0.5000 0.0000 0.5000
W1 0.2549 0.5000 0.7602
# Calculated total energy, eV per atom: -7.160
# N(E_F), states/eV per atom: 0.656
# Energy of formation from the pure elements, kJ per mole of atoms: 46.3
# Size of the total moment, μB/f.u.: 0.0



# PBE LiIn2W, optimized geometry
data_LiIn2W
_chemical_formula_sum 'Li4 In8 W4'
_space_group_name_H-M_alt 'F m -3 m'
_space_group_IT_number 225
_space_group_name_Hall '-F 4 2 3'
_cell_length_a 6.7224
_cell_length_b 6.7224
_cell_length_c 6.7224
_cell_angle_alpha 90.00
_cell_angle_beta 90.00
_cell_angle_gamma 90.00
loop_
_atom_site_label
_atom_site_fract_x
_atom_site_fract_y
_atom_site_fract_z
Li1 0.0000 0.0000 0.0000
In1 0.2500 0.2500 0.2500
W1 0.0000 0.0000 0.5000
# Calculated total energy, eV per atom: -4.634
# Energy relative to the lowest polymorph listed for this composition, eV/f.u.: 0.86
# N(E_F), states/eV per atom: 0.533
# Energy of formation from the pure elements, kJ per mole of atoms: 43.7
# Size of the total moment, μB/f.u.: 1.5



# PBE LiInW2, optimized geometry
data_LiInW2
_chemical_formula_sum 'Li2 In2 W4'
_space_group_name_H-M_alt 'C m m 2'
_space_group_IT_number 35
_space_group_name_Hall 'C 2 -2'
_cell_length_a 3.2437
_cell_length_b 4.6992
_cell_length_c 9.2161
_cell_angle_alpha 90.00
_cell_angle_beta 90.00
_cell_angle_gamma 90.00
loop_
_atom_site_label
_atom_site_fract_x
_atom_site_fract_y
_atom_site_fract_z
Li1 0.0000 0.0000 0.0000
In1 0.0000 0.5000 0.7457
W1 0.0000 0.0000 0.4740
W2 0.0000 0.5000 0.2500
# Calculated total energy, eV per atom: -7.323
# N(E_F), states/eV per atom: 0.575
# Energy of formation from the pure elements, kJ per mole of atoms: 30.5
# Size of the total moment, μB/f.u.: 0.0



# PBE LiInW2, optimized geometry
data_LiInW2
_chemical_formula_sum 'Li1 In1 W2'
_space_group_name_H-M_alt 'P 4 m m'
_space_group_IT_number 99
_space_group_name_Hall 'P 4 -2'
_cell_length_a 3.3230
_cell_length_b 3.3230
_cell_length_c 6.2339
_cell_angle_alpha 90.00
_cell_angle_beta 90.00
_cell_angle_gamma 90.00
loop_
_atom_site_label
_atom_site_fract_x
_atom_site_fract_y
_atom_site_fract_z
Li1 0.0000 0.0000 0.0000
In1 0.5000 0.5000 0.7721
W1 0.0000 0.0000 0.4534
W2 0.5000 0.5000 0.2694
# Calculated total energy, eV per atom: -7.344
# N(E_F), states/eV per atom: 0.680
# Energy of formation from the pure elements, kJ per mole of atoms: 28.5
# Size of the total moment, μB/f.u.: 0.0